HfMg: relaxed, PBE-GGA.

Cell: 10.907 10.907 3.216 Å, 90.00 90.00 90.00°
Space group P4/mmm (No. 123)
Asymmetric unit:
Hf: 0.000 0.341 0.000 x4
Hf: 0.137 0.137 0.500 x4
Mg: 0.183 0.500 0.500 x4
Mg: 0.307 0.307 0.000 x4

Output
E_form ... 38.5 kJ/mol of formula units
Volume ... 23.9 A^3/atom


BN: relaxed, PBE-GGA.

Cell: 2.575 7.890 3.830 Å, 90.00 90.00 90.00°
Space group Pmmn (No. 59, origin choice 2)
Asymmetric unit:
B: 0.250 0.101 0.085 x4
B: 0.250 0.750 0.412 x2
N: 0.250 0.250 0.354 x2
N: 0.250 0.599 0.148 x4

Output
Relative energy among the computed polymorphs ... 320 meV per atom
Volume ... 6.5 A^3/atom


Mn2SeS3: relaxed, PBE-GGA.

Cell: 6.6922 6.6922 19.8700 Å, 90.00 90.00 120.00°
Space group R-3m (No. 166, hexagonal axes)
Asymmetric unit:
Mn: 0.0000 0.0000 0.0000 x3
Mn: 0.0000 0.5000 0.0000 x9
Se: 0.0000 0.0000 0.2560 x6
S: 0.0011 0.5005 0.2673 x18

Output
Volume ... 21.4 A^3/atom
Energy ... -224.2 eV/cell


Number 1: density 7.04 g cm⁻³, total magnetization 0.00 μB/cell. Number 2: density 3.18 g cm⁻³, total magnetization 0.00 μB/cell. Number 3: density 3.68 g cm⁻³, total magnetization 33.87 μB/cell.